(1)
Compound: NaLi2CaAu
Source: the Alexandria database
Functional: GGA-PBE
Structure: relaxed

The structure in POSCAR format:
```
NaLi2CaAu
1.0
5.144 0.000 0.000
0.000 5.144 0.000
0.000 0.000 5.656
Na Li Ca Au
1 2 1 1
Cartesian
0.000 0.000 0.000
0.000 2.572 2.828
2.572 0.000 2.828
2.572 2.572 0.000
2.572 2.572 2.828
```

Output
The energy is -2.267 eV per atom. The value obtained for the energy relative to the elements is -0.181 eV/atom. The value obtained for the volume is 150 Å³/f.u.

---

(2)
Compound: Cr2TcBr
Source: the Alexandria database
Functional: GGA-PBE
Structure: relaxed

The structure in POSCAR format:
```
Cr2TcBr
1.0
-1.817 1.817 4.633
1.817 -1.817 4.633
1.817 1.817 -4.633
Cr Tc Br
2 1 1
Cartesian
0.000 0.000 0.000
0.000 1.817 2.317
1.817 0.000 2.317
0.000 0.000 4.633
```

Output
The energy is -6.866 eV per atom. The value obtained for the volume is 61 Å³/f.u. Its formation energy from raw total energies is 0.955 eV/atom.

---

(3)
Compound: TbMg11Zn
Source: the Alexandria database
Functional: GGA-PBE
Structure: relaxed

The structure in POSCAR format:
```
TbMg11Zn
1.0
2.929 -7.137 0.000
2.929 7.137 0.000
-2.786 0.000 7.108
Tb Mg Zn
1 11 1
Cartesian
0.000 0.000 0.000
-1.393 0.000 3.554
1.464 3.569 0.000
0.066 2.454 2.520
0.157 1.485 5.569
0.066 -2.454 2.520
2.914 1.485 1.539
1.464 -3.569 0.000
0.157 -1.485 5.569
3.006 2.454 4.587
2.914 -1.485 1.539
3.006 -2.454 4.587
1.536 0.000 3.554
```

Output
The energy is -1.847 eV per atom. The value obtained for the energy relative to the elements is -0.043 eV/atom. The value obtained for the volume is 297 Å³/f.u.